Entry 1:
DFT (PBE) results for crystalline TlInRu2 at its relaxed geometry.

Cell: 4.4506 3.0557 5.5593 Å, 89.02 90.00 90.00°
With the nearest neighbours (Å) after each atom.
Sites, in units of the cell vectors:
1 In 0.5000 0.7500 0.7500  4 Ru 2.68
2 Ru 0.0000 0.0524 0.9566  1 Ru 2.58, 2 In 2.68, 2 Tl 2.83
3 Ru 0.0000 0.4476 0.5434  1 Ru 2.58, 2 In 2.68, 2 Tl 2.83
4 Tl 0.5000 0.2500 0.2500  4 Ru 2.83, 2 Tl 3.06, 2 In 3.15

## Properties
energy relative to the elements = 0.533 eV/atom
crystal system = monoclinic
symmetry = No. 10
volume = 18.90 Å³ per atom
total DFT energy (no corrections) = -5.38 eV/atom

Entry 2:
DFT (PBE) results for crystalline TlIn2Ru at its relaxed geometry.

Cell: 4.6610 4.2314 4.2314 Å, 90.00 90.00 90.00°
With the nearest neighbours (Å) after each atom.
Sites, in units of the cell vectors:
1 In 0.0000 0.0000 0.0000  4 In 2.99, 4 Ru 3.15, 4 Tl 3.15
2 In 0.0000 0.5000 0.5000  4 In 2.99, 4 Tl 3.15, 4 Ru 3.15
3 Ru 0.5000 0.5000 0.0000  4 Tl 2.99, 8 In 3.15
4 Tl 0.5000 0.0000 0.5000  4 Ru 2.99, 8 In 3.15

## Properties
energy relative to the elements = 0.473 eV/atom
crystal system = tetragonal
symmetry = No. 123
volume = 20.86 Å³ per atom
total DFT energy (no corrections) = -3.81 eV/atom

Entry 3:
DFT (PBE) results for crystalline TlIn2Ru at its relaxed geometry.

Cell: 3.2482 3.2482 8.6497 Å, 90.00 90.00 90.00°
With the nearest neighbours (Å) after each atom.
Sites, in units of the cell vectors:
1 In 0.0000 0.0000 0.0645  4 Ru 2.80
2 In 0.0000 0.0000 0.4355  4 Ru 2.80
3 Ru 0.5000 0.5000 0.2500  8 In 2.80
4 Tl 0.5000 0.5000 0.7500  4 Tl 3.25, 8 In 3.56

## Properties
energy relative to the elements = 0.098 eV/atom
crystal system = tetragonal
symmetry = No. 123
volume = 22.82 Å³ per atom
total DFT energy (no corrections) = -4.18 eV/atom

Entry 4:
DFT (PBE) results for crystalline TlInRu2 at its relaxed geometry.

Cell: 3.0284 3.0284 8.9362 Å, 90.00 90.00 117.11°
With the nearest neighbours (Å) after each atom.
Sites, in units of the cell vectors:
1 In 0.5000 0.5000 0.7500  4 Ru 2.70
2 Ru 0.0000 0.0000 0.9949  2 In 2.70, 2 Tl 2.77
3 Ru 0.0000 0.0000 0.5051  2 In 2.70, 2 Tl 2.77
4 Tl 0.5000 0.5000 0.2500  4 Ru 2.77, 4 Tl 3.03

## Properties
energy relative to the elements = 0.565 eV/atom
crystal system = orthorhombic
symmetry = No. 65
volume = 18.24 Å³ per atom
total DFT energy (no corrections) = -5.35 eV/atom

Repeat the second record exactly.
DFT (PBE) results for crystalline TlIn2Ru at its relaxed geometry.

Cell: 4.6610 4.2314 4.2314 Å, 90.00 90.00 90.00°
With the nearest neighbours (Å) after each atom.
Sites, in units of the cell vectors:
1 In 0.0000 0.0000 0.0000  4 In 2.99, 4 Ru 3.15, 4 Tl 3.15
2 In 0.0000 0.5000 0.5000  4 In 2.99, 4 Tl 3.15, 4 Ru 3.15
3 Ru 0.5000 0.5000 0.0000  4 Tl 2.99, 8 In 3.15
4 Tl 0.5000 0.0000 0.5000  4 Ru 2.99, 8 In 3.15

## Properties
energy relative to the elements = 0.473 eV/atom
crystal system = tetragonal
symmetry = No. 123
volume = 20.86 Å³ per atom
total DFT energy (no corrections) = -3.81 eV/atom

Copy entry 2 word for word.
DFT (PBE) results for crystalline TlIn2Ru at its relaxed geometry.

Cell: 4.6610 4.2314 4.2314 Å, 90.00 90.00 90.00°
With the nearest neighbours (Å) after each atom.
Sites, in units of the cell vectors:
1 In 0.0000 0.0000 0.0000  4 In 2.99, 4 Ru 3.15, 4 Tl 3.15
2 In 0.0000 0.5000 0.5000  4 In 2.99, 4 Tl 3.15, 4 Ru 3.15
3 Ru 0.5000 0.5000 0.0000  4 Tl 2.99, 8 In 3.15
4 Tl 0.5000 0.0000 0.5000  4 Ru 2.99, 8 In 3.15

## Properties
energy relative to the elements = 0.473 eV/atom
crystal system = tetragonal
symmetry = No. 123
volume = 20.86 Å³ per atom
total DFT energy (no corrections) = -3.81 eV/atom

> The lowest volume belongs to which entry?

number 4

> The lowest total DFT energy (no corrections) belongs to which entry?

number 1